*A*
Density functional theory data (PBE) for a relaxed Pm3Ga4Cu4 crystal.

It has space group Immm (No. 71), with a = 4.343 Å, b = 6.865 Å, c = 14.182 Å, α = 90.00°, β = 90.00° and γ = 90.00°. The asymmetric unit holds Pm at (0.000, 0.000, 0.000), Pm at (0.000, 0.500, 0.134), Ga at (0.000, 0.000, 0.217), Ga at (0.000, 0.185, 0.500) and Cu at (0.000, 0.314, 0.331).

Its density of states at the Fermi level is 1.158 states/eV/atom. The calculation puts the total moment at 0.00 μB per formula unit.

*B*
Density functional theory data (PBE) for a relaxed Pm3Ga4Cu4 crystal.

It has space group Immm (No. 71), with a = 4.067 Å, b = 4.284 Å, c = 24.977 Å, α = 90.00°, β = 90.00° and γ = 90.00°. The asymmetric unit holds Pm at (0.000, 0.000, 0.000), Pm at (0.000, 0.500, 0.151), Ga at (0.000, 0.000, 0.448), Ga at (0.000, 0.500, 0.303), Cu at (0.000, 0.000, 0.251) and Cu at (0.000, 0.500, 0.402).

Its density of states at the Fermi level is 0.746 states/eV/atom. The calculation puts the total moment at 0.00 μB per formula unit.

Least stable of them? *A*.